No. 1
Computed, not measured: a relaxed structure of PuTlHgPb at the PBE-GGA level of DFT.

The calculation puts the density of states at the Fermi level at 13.04 states/eV/cell. For the size of the total moment, the calculation gives 5.81 μB/cell. The calculation puts the energy of formation at -0.104 eV per atom. The value obtained for the energy relative to the lowest polymorph listed for this composition is 0.0 meV/atom.

The structure belongs to space group Pmmm (No. 47); the cell edges are 4.671, 4.697 and 4.907 Å and the angles 90.00°, 90.00° and 90.00°. The inequivalent atoms are Pu at (0.000, 0.000, 0.000), Tl at (0.500, 0.000, 0.500), Hg at (0.000, 0.500, 0.500) and Pb at (0.500, 0.500, 0.000).

=====

No. 2
Computed, not measured: a relaxed structure of PuZnHgPb at the PBE-GGA level of DFT.

The calculation puts the density of states at the Fermi level at 50.52 states/eV/cell. For the size of the total moment, the calculation gives 23.11 μB/cell. The calculation puts the energy of formation at -0.010 eV per atom.

The structure belongs to space group F-43m (No. 216); the cell edges are 7.343, 7.343 and 7.343 Å and the angles 90.00°, 90.00° and 90.00°. The inequivalent atoms are Pu at (0.000, 0.000, 0.000), Zn at (0.000, 0.000, 0.500), Hg at (0.250, 0.250, 0.750) and Pb at (0.250, 0.250, 0.250).

=====

No. 3
Computed, not measured: a relaxed structure of PuZrHgPb at the PBE-GGA level of DFT.

The calculation puts the density of states at the Fermi level at 46.36 states/eV/cell. For the size of the total moment, the calculation gives 28.08 μB/cell. The calculation puts the energy of formation at -0.046 eV per atom.

The structure belongs to space group F-43m (No. 216); the cell edges are 7.401, 7.401 and 7.401 Å and the angles 90.00°, 90.00° and 90.00°. The inequivalent atoms are Pu at (0.000, 0.000, 0.000), Zr at (0.000, 0.000, 0.500), Hg at (0.250, 0.250, 0.750) and Pb at (0.250, 0.250, 0.250).

=====

No. 4
Computed, not measured: a relaxed structure of RbHgPb2 at the PBE-GGA level of DFT.

The calculation puts the density of states at the Fermi level at 2.54 states/eV/cell. For the size of the total moment, the calculation gives 0.00 μB/cell. The calculation puts the energy of formation at -0.113 eV per atom.

The structure belongs to space group P2_1/m (No. 11); the cell edges are 6.725, 5.654 and 7.535 Å and the angles 90.00°, 102.68° and 90.00°. The inequivalent atoms are Rb at (0.090, 0.250, 0.163), Hg at (0.076, 0.250, 0.631), Pb at (0.376, 0.750, 0.562) and Pb at (0.499, 0.250, 0.855).

=====

No. 5
Computed, not measured: a relaxed structure of RbHg2Pb at the PBE-GGA level of DFT.

The calculation puts the density of states at the Fermi level at 6.84 states/eV/cell. For the size of the total moment, the calculation gives 0.00 μB/cell. The calculation puts the energy of formation at -0.118 eV per atom.

The structure belongs to space group R3m (No. 160, hexagonal axes); the cell edges are 5.1024, 5.1024 and 20.6248 Å and the angles 90.00°, 90.00° and 120.00°. The inequivalent atoms are Rb at (0.0000, 0.0000, 0.0000), Hg at (0.0000, 0.0000, 0.5558), Hg at (0.0000, 0.0000, 0.7837) and Pb at (0.0000, 0.0000, 0.1860).

=====

No. 6
Computed, not measured: a relaxed structure of Rb2HgPb at the PBE-GGA level of DFT.

The calculation puts the density of states at the Fermi level at 3.49 states/eV/cell. For the size of the total moment, the calculation gives 0.00 μB/cell. The calculation puts the energy of formation at -0.057 eV per atom.

The structure belongs to space group P4/mmm (No. 123); the cell edges are 6.718, 6.718 and 3.788 Å and the angles 90.00°, 90.00° and 90.00°. The inequivalent atoms are Rb at (0.000, 0.500, 0.000), Hg at (0.000, 0.000, 0.500) and Pb at (0.500, 0.500, 0.500).

=====

No. 7
Computed, not measured: a relaxed structure of Rb8HgPb2 at the PBE-GGA level of DFT.

The calculation puts the density of states at the Fermi level at 19.39 states/eV/cell. For the size of the total moment, the calculation gives 1.52 μB/cell. The calculation puts the energy of formation at -0.055 eV per atom.

The structure belongs to space group C2/m (No. 12); the cell edges are 23.362, 6.460 and 9.114 Å and the angles 90.00°, 111.47° and 90.00°. The inequivalent atoms are Rb at (0.024, 0.000, 0.271), Rb at (0.098, 0.500, 0.950), Rb at (0.174, 0.500, 0.459), Rb at (0.211, 0.000, 0.811), Hg at (0.000, 0.500, 0.500) and Pb at (0.168, 0.000, 0.178).

=====

No. 8
Computed, not measured: a relaxed structure of RbHg3Pb at the PBE-GGA level of DFT.

The calculation puts the density of states at the Fermi level at 4.43 states/eV/cell. For the size of the total moment, the calculation gives 2.42 μB/cell. The calculation puts the energy of formation at 0.463 eV per atom. The value obtained for the energy relative to the lowest polymorph listed for this composition is 607.3 meV/atom.

The structure belongs to space group Pm-3m (No. 221); the cell edges are 6.507, 6.507 and 6.507 Å and the angles 90.00°, 90.00° and 90.00°. The inequivalent atoms are Rb at (0.000, 0.000, 0.000), Hg at (0.000, 0.000, 0.500) and Pb at (0.500, 0.500, 0.500).